Entry 1:
An optimized crystal structure of La3IrPb. Source: the Alexandria database, functional GGA-PBE.

Geometry as CIF:
```
data_La3IrPb
_symmetry_space_group_name_H-M 'P 1'
_symmetry_Int_Tables_number 1
_symmetry_space_group_name_Hall 'P 1'
_cell_length_a 6.9389
_cell_length_b 6.9389
_cell_length_c 6.9389
_cell_angle_alpha 75.94
_cell_angle_beta 75.94
_cell_angle_gamma 75.94
loop_
_atom_site_label
_atom_site_fract_x
_atom_site_fract_y
_atom_site_fract_z
_atom_site_occupancy
Pb1 0.3934 0.3934 0.3934 1
Pb2 0.6066 0.6066 0.6066 1
Ir1 0.0927 0.0927 0.0927 1
Ir2 0.9073 0.9073 0.9073 1
La1 0.4439 0.0369 0.7849 1
La2 0.0369 0.7849 0.4439 1
La3 0.2151 0.5561 0.9631 1
La4 0.9631 0.2151 0.5561 1
La5 0.5561 0.9631 0.2151 1
La6 0.7849 0.4439 0.0369 1
```

Formation enthalpy at 0 K (eV per atom): -0.410
Crystal system: trigonal
E above lowest polymorph (meV/atom): 277

---

Entry 2:
An optimized crystal structure of Ti2CuN. Source: the Alexandria database, functional GGA-PBE.

Geometry as CIF:
```
data_Ti2CuN
_symmetry_space_group_name_H-M 'P 1'
_symmetry_Int_Tables_number 1
_symmetry_space_group_name_Hall 'P 1'
_cell_length_a 2.9857
_cell_length_b 2.9857
_cell_length_c 6.7505
_cell_angle_alpha 77.22
_cell_angle_beta 77.22
_cell_angle_gamma 60.00
loop_
_atom_site_label
_atom_site_fract_x
_atom_site_fract_y
_atom_site_fract_z
_atom_site_occupancy
N1 0.0000 0.0000 0.0000 1
Cu1 0.5000 0.5000 0.5000 1
Ti1 0.7260 0.7260 0.8221 1
Ti2 0.2740 0.2740 0.1779 1
```

ΔE_f (raw) (meV per atom): -914
Crystal system: trigonal

---

Entry 3:
An optimized crystal structure of LiHfMg2. Source: the Alexandria database, functional GGA-PBE.

Geometry as CIF:
```
data_LiHfMg2
_symmetry_space_group_name_H-M 'P 1'
_symmetry_Int_Tables_number 1
_symmetry_space_group_name_Hall 'P 1'
_cell_length_a 3.3598
_cell_length_b 5.0678
_cell_length_c 5.0678
_cell_angle_alpha 90.00
_cell_angle_beta 90.00
_cell_angle_gamma 90.00
loop_
_atom_site_label
_atom_site_fract_x
_atom_site_fract_y
_atom_site_fract_z
_atom_site_occupancy
Mg1 0.0000 0.0000 0.5000 1
Mg2 0.0000 0.5000 0.0000 1
Hf1 0.5000 0.0000 0.0000 1
Li1 0.5000 0.5000 0.5000 1
```

Formation enthalpy at 0 K (eV per atom): 0.167
Crystal system: tetragonal
E above lowest polymorph (meV/atom): 107

---

Entry 4:
An optimized crystal structure of Sc2CoSi2. Source: the Alexandria database, functional GGA-PBE.

Geometry as CIF:
```
data_Sc2CoSi2
_symmetry_space_group_name_H-M 'P 1'
_symmetry_Int_Tables_number 1
_symmetry_space_group_name_Hall 'P 1'
_cell_length_a 3.9540
_cell_length_b 5.3188
_cell_length_c 8.5063
_cell_angle_alpha 82.54
_cell_angle_beta 76.56
_cell_angle_gamma 68.17
loop_
_atom_site_label
_atom_site_fract_x
_atom_site_fract_y
_atom_site_fract_z
_atom_site_occupancy
Sc1 0.3159 0.2629 0.1052 1
Sc2 0.4998 0.3283 0.6720 1
Sc3 0.6841 0.7371 0.8948 1
Sc4 0.5002 0.6717 0.3280 1
Si1 0.9880 0.1490 0.8749 1
Si2 0.1449 0.2795 0.4309 1
Si3 0.0120 0.8510 0.1251 1
Si4 0.8551 0.7205 0.5691 1
Co1 0.7744 0.0765 0.3750 1
Co2 0.2256 0.9235 0.6250 1
```

ΔE_f (raw) (meV per atom): -842
Crystal system: monoclinic

---

Entry 5:
An optimized crystal structure of TaC2Cl. Source: the Alexandria database, functional GGA-PBE.

Geometry as CIF:
```
data_TaC2Cl
_symmetry_space_group_name_H-M 'P 1'
_symmetry_Int_Tables_number 1
_symmetry_space_group_name_Hall 'P 1'
_cell_length_a 4.0261
_cell_length_b 4.0261
_cell_length_c 4.0261
_cell_angle_alpha 60.00
_cell_angle_beta 60.00
_cell_angle_gamma 60.00
loop_
_atom_site_label
_atom_site_fract_x
_atom_site_fract_y
_atom_site_fract_z
_atom_site_occupancy
C1 0.2500 0.2500 0.2500 1
C2 0.7500 0.7500 0.7500 1
Cl1 0.0000 0.0000 0.0000 1
Ta1 0.5000 0.5000 0.5000 1
```

ΔE_f (raw) (meV per atom): 2211
Crystal system: cubic
E above lowest polymorph (meV/atom): 749

---

Entry 6:
An optimized crystal structure of AlBiP2. Source: the Alexandria database, functional GGA-PBE.

Geometry as CIF:
```
data_AlBiP2
_symmetry_space_group_name_H-M 'P 1'
_symmetry_Int_Tables_number 1
_symmetry_space_group_name_Hall 'P 1'
_cell_length_a 4.8054
_cell_length_b 4.8054
_cell_length_c 4.8054
_cell_angle_alpha 60.00
_cell_angle_beta 60.00
_cell_angle_gamma 60.00
loop_
_atom_site_label
_atom_site_fract_x
_atom_site_fract_y
_atom_site_fract_z
_atom_site_occupancy
P1 0.2500 0.2500 0.2500 1
P2 0.7500 0.7500 0.7500 1
Bi1 0.5000 0.5000 0.5000 1
Al1 0.0000 0.0000 0.0000 1
```

Formation enthalpy at 0 K (eV per atom): 0.429
Crystal system: cubic
E above lowest polymorph (meV/atom): 492

---

Entry 7:
An optimized crystal structure of KSrPrI6. Source: the Alexandria database, functional GGA-PBE.

Geometry as CIF:
```
data_KSrPrI6
_symmetry_space_group_name_H-M 'P 1'
_symmetry_Int_Tables_number 1
_symmetry_space_group_name_Hall 'P 1'
_cell_length_a 8.3296
_cell_length_b 8.3296
_cell_length_c 15.3525
_cell_angle_alpha 90.00
_cell_angle_beta 90.00
_cell_angle_gamma 120.00
loop_
_atom_site_label
_atom_site_fract_x
_atom_site_fract_y
_atom_site_fract_z
_atom_site_occupancy
K1 0.0000 0.0000 0.0000 1
K2 0.0000 0.0000 0.5000 1
Sr1 0.3333 0.6667 0.2500 1
Sr2 0.6667 0.3333 0.7500 1
Pr1 0.6667 0.3333 0.2500 1
Pr2 0.3333 0.6667 0.7500 1
I1 0.6437 0.6308 0.1307 1
I2 0.9871 0.3563 0.1307 1
I3 0.3563 0.9871 0.6307 1
I4 0.0129 0.6437 0.8693 1
I5 0.3692 0.3563 0.3693 1
I6 0.9871 0.6308 0.3693 1
I7 0.6308 0.9871 0.8693 1
I8 0.6437 0.0129 0.3693 1
I9 0.0129 0.3692 0.6307 1
I10 0.3692 0.0129 0.1307 1
I11 0.6308 0.6437 0.6307 1
I12 0.3563 0.3692 0.8693 1
```

ΔE_f (raw) (meV per atom): -1532
Crystal system: trigonal

---

Entry 8:
An optimized crystal structure of La5Pm2In. Source: the Alexandria database, functional GGA-PBE.

Geometry as CIF:
```
data_La5Pm2In
_symmetry_space_group_name_H-M 'P 1'
_symmetry_Int_Tables_number 1
_symmetry_space_group_name_Hall 'P 1'
_cell_length_a 7.3297
_cell_length_b 7.3300
_cell_length_c 6.8868
_cell_angle_alpha 105.50
_cell_angle_beta 105.50
_cell_angle_gamma 119.85
loop_
_atom_site_label
_atom_site_fract_x
_atom_site_fract_y
_atom_site_fract_z
_atom_site_occupancy
La1 0.2397 0.3160 0.5010 1
La2 0.3412 0.7616 0.0000 1
La3 0.7956 0.2155 0.0000 1
La4 0.7387 0.8151 0.4991 1
La5 0.3261 0.2276 0.0000 1
Pm1 0.2127 0.8041 0.4605 1
Pm2 0.7522 0.3437 0.5395 1
In1 0.8167 0.7393 0.0000 1
```

Formation enthalpy at 0 K (eV per atom): -0.123
Crystal system: monoclinic
E above lowest polymorph (meV/atom): 0

---

Entry 9:
An optimized crystal structure of NaPb2Au2. Source: the Alexandria database, functional GGA-PBE.

Geometry as CIF:
```
data_NaPb2Au2
_symmetry_space_group_name_H-M 'P 1'
_symmetry_Int_Tables_number 1
_symmetry_space_group_name_Hall 'P 1'
_cell_length_a 5.3610
_cell_length_b 5.3610
_cell_length_c 6.4265
_cell_angle_alpha 65.35
_cell_angle_beta 65.35
_cell_angle_gamma 90.00
loop_
_atom_site_label
_atom_site_fract_x
_atom_site_fract_y
_atom_site_fract_z
_atom_site_occupancy
Pb1 0.3487 0.3487 0.3026 1
Pb2 0.6513 0.6513 0.6974 1
Na1 0.0000 0.0000 0.0000 1
Au1 0.7500 0.2500 0.5000 1
Au2 0.2500 0.7500 0.5000 1
```

Formation enthalpy at 0 K (eV per atom): -0.071
Crystal system: tetragonal
E above lowest polymorph (meV/atom): 104

---

Entry 10:
An optimized crystal structure of Al2GaAg8. Source: the Alexandria database, functional GGA-PBE.

Geometry as CIF:
```
data_Al2GaAg8
_symmetry_space_group_name_H-M 'P 1'
_symmetry_Int_Tables_number 1
_symmetry_space_group_name_Hall 'P 1'
_cell_length_a 4.8231
_cell_length_b 6.8583
_cell_length_c 6.8583
_cell_angle_alpha 84.85
_cell_angle_beta 78.62
_cell_angle_gamma 78.62
loop_
_atom_site_label
_atom_site_fract_x
_atom_site_fract_y
_atom_site_fract_z
_atom_site_occupancy
Al1 0.4522 0.1467 0.1467 1
Al2 0.5478 0.8533 0.8533 1
Ga1 0.0000 0.0000 0.0000 1
Ag1 0.7925 0.1566 0.6703 1
Ag2 0.2075 0.3297 0.8434 1
Ag3 0.8827 0.2674 0.2674 1
Ag4 0.1173 0.7326 0.7326 1
Ag5 0.7925 0.6703 0.1566 1
Ag6 0.2075 0.8434 0.3297 1
Ag7 0.2957 0.4205 0.4205 1
Ag8 0.7043 0.5795 0.5795 1
```

Formation enthalpy at 0 K (eV per atom): 0.123
Crystal system: monoclinic
E above lowest polymorph (meV/atom): 157

---

Entry 11:
An optimized crystal structure of Pr5DyEr12. Source: the Alexandria database, functional GGA-PBE.

Geometry as CIF:
```
data_Pr5DyEr12
_symmetry_space_group_name_H-M 'P 1'
_symmetry_Int_Tables_number 1
_symmetry_space_group_name_Hall 'P 1'
_cell_length_a 11.6874
_cell_length_b 10.4269
_cell_length_c 5.7396
_cell_angle_alpha 90.00
_cell_angle_beta 90.00
_cell_angle_gamma 55.91
loop_
_atom_site_label
_atom_site_fract_x
_atom_site_fract_y
_atom_site_fract_z
_atom_site_occupancy
Pr1 0.5000 0.0000 0.5000 1
Pr2 0.1388 0.7223 0.5000 1
Pr3 0.8612 0.2777 0.5000 1
Pr4 0.6417 0.7165 0.0000 1
Pr5 0.3583 0.2835 0.0000 1
Dy1 0.0000 0.0000 0.0000 1
Er1 0.8033 0.0000 0.4990 1
Er2 0.1968 0.0000 0.5010 1
Er3 0.6994 0.0000 0.9990 1
Er4 0.3006 0.0000 0.0010 1
Er5 0.3350 0.6460 0.9997 1
Er6 0.0191 0.6460 0.0003 1
Er7 0.9809 0.3540 0.9997 1
Er8 0.6650 0.3540 0.0003 1
Er9 0.4780 0.3568 0.5003 1
Er10 0.8347 0.6433 0.5003 1
Er11 0.1653 0.3568 0.4997 1
Er12 0.5221 0.6433 0.4997 1
```

Formation enthalpy at 0 K (eV per atom): 0.093
Crystal system: monoclinic

---

Entry 12:
An optimized crystal structure of NdSm8Y5. Source: the Alexandria database, functional GGA-PBE.

Geometry as CIF:
```
data_NdSm8Y5
_symmetry_space_group_name_H-M 'P 1'
_symmetry_Int_Tables_number 1
_symmetry_space_group_name_Hall 'P 1'
_cell_length_a 8.5650
_cell_length_b 8.5650
_cell_length_c 8.5650
_cell_angle_alpha 111.56
_cell_angle_beta 105.38
_cell_angle_gamma 111.56
loop_
_atom_site_label
_atom_site_fract_x
_atom_site_fract_y
_atom_site_fract_z
_atom_site_occupancy
Nd1 0.2500 0.5000 0.7500 1
Sm1 0.1622 0.7331 0.0754 1
Sm2 0.9246 0.0868 0.6577 1
Sm3 0.7249 0.2574 0.3290 1
Sm4 0.6710 0.3959 0.9284 1
Sm5 0.5325 0.6041 0.2751 1
Sm6 0.5710 0.9132 0.8378 1
Sm7 0.3423 0.2669 0.4290 1
Sm8 0.0716 0.7426 0.4675 1
Y1 0.0395 0.3179 0.1324 1
Y2 0.8676 0.9070 0.1854 1
Y3 0.8146 0.6821 0.7216 1
Y4 0.5000 0.0000 0.5000 1
Y5 0.2784 0.0930 0.9605 1
```

Formation enthalpy at 0 K (eV per atom): 0.247
Crystal system: tetragonal

---

Ordered DOS(E_F) results: 11.87; 1.37; 3.41; 8.02; 2.60; 2.14; 0.00; 11.32; 3.05; 2.80; 27.64; 22.03; unit states/eV per cell.
Ordered total DFT energy (no corrections) results: -58.80; -31.87; -14.39; -69.65; -23.30; -16.73; -61.29; -37.86; -15.64; -31.97; -81.58; -71.38; unit eV for the cell shown.